[1]
{"formula": "K3Sr5F12", "functional": "GGA-PBE", "state": "relaxed", "lattice": [[-7.744, 7.744, 7.744], [7.744, -7.744, 7.744], [7.744, 7.744, -7.744]], "species": ["K", "K", "K", "K", "K", "K", "K", "K", "K", "K", "K", "K", "Sr", "Sr", "Sr", "Sr", "Sr", "Sr", "Sr", "Sr", "Sr", "Sr", "Sr", "Sr", "Sr", "Sr", "Sr", "Sr", "Sr", "Sr", "Sr", "Sr", "F", "F", "F", "F", "F", "F", "F", "F", "F", "F", "F", "F", "F", "F", "F", "F", "F", "F", "F", "F", "F", "F", "F", "F", "F", "F", "F", "F", "F", "F", "F", "F", "F", "F", "F", "F", "F", "F", "F", "F", "F", "F", "F", "F", "F", "F", "F", "F"], "fractional_positions": [[0.125, 0.250, 0.375], [0.125, 0.375, 0.750], [0.250, 0.375, 0.125], [0.250, 0.875, 0.625], [0.375, 0.125, 0.250], [0.375, 0.750, 0.125], [0.625, 0.250, 0.875], [0.625, 0.875, 0.750], [0.750, 0.125, 0.375], [0.750, 0.625, 0.875], [0.875, 0.625, 0.250], [0.875, 0.750, 0.625], [0.000, 0.000, 0.000], [0.000, 0.000, 0.500], [0.000, 0.500, 0.000], [0.000, 0.500, 0.500], [0.125, 0.750, 0.875], [0.125, 0.875, 0.250], [0.250, 0.125, 0.875], [0.250, 0.625, 0.375], [0.375, 0.250, 0.625], [0.375, 0.625, 0.750], [0.500, 0.000, 0.000], [0.500, 0.000, 0.500], [0.500, 0.500, 0.000], [0.500, 0.500, 0.500], [0.625, 0.375, 0.250], [0.625, 0.750, 0.375], [0.750, 0.375, 0.625], [0.750, 0.875, 0.125], [0.875, 0.125, 0.750], [0.875, 0.250, 0.125], [0.022, 0.194, 0.128], [0.022, 0.328, 0.895], [0.067, 0.694, 0.672], [0.067, 0.872, 0.395], [0.105, 0.628, 0.433], [0.105, 0.978, 0.672], [0.128, 0.022, 0.194], [0.128, 0.605, 0.933], [0.172, 0.194, 0.567], [0.172, 0.478, 0.605], [0.194, 0.128, 0.022], [0.194, 0.567, 0.172], [0.306, 0.328, 0.933], [0.306, 0.478, 0.372], [0.328, 0.895, 0.022], [0.328, 0.933, 0.306], [0.372, 0.306, 0.478], [0.372, 0.567, 0.895], [0.395, 0.067, 0.872], [0.395, 0.828, 0.522], [0.433, 0.105, 0.628], [0.433, 0.828, 0.806], [0.478, 0.372, 0.306], [0.478, 0.605, 0.172], [0.522, 0.395, 0.828], [0.522, 0.628, 0.694], [0.567, 0.172, 0.194], [0.567, 0.895, 0.372], [0.605, 0.172, 0.478], [0.605, 0.933, 0.128], [0.628, 0.433, 0.105], [0.628, 0.694, 0.522], [0.672, 0.067, 0.694], [0.672, 0.105, 0.978], [0.694, 0.522, 0.628], [0.694, 0.672, 0.067], [0.806, 0.433, 0.828], [0.806, 0.872, 0.978], [0.828, 0.522, 0.395], [0.828, 0.806, 0.433], [0.872, 0.395, 0.067], [0.872, 0.978, 0.806], [0.895, 0.022, 0.328], [0.895, 0.372, 0.567], [0.933, 0.128, 0.605], [0.933, 0.306, 0.328], [0.978, 0.672, 0.105], [0.978, 0.806, 0.872]], "space_group": "No. 230", "formation_energy_uncorrected_mev_per_atom": -3344, "volume_a3_per_fu": 464.3}

[2]
{"formula": "PrNdMgZn", "functional": "GGA-PBE", "state": "relaxed", "lattice": [[0.000, 3.791, 3.791], [3.791, 0.000, 3.791], [3.791, 3.791, 0.000]], "species": ["Pr", "Nd", "Mg", "Zn"], "fractional_positions": [[0.000, 0.000, 0.000], [0.500, 0.500, 0.500], [0.250, 0.250, 0.250], [0.750, 0.750, 0.750]], "space_group": "No. 216", "e_form_mev_per_atom": -182, "volume_a3_per_fu": 108.9}

[3]
{"formula": "BePdI", "functional": "GGA-PBE", "state": "relaxed", "lattice": [[3.552, -1.929, 0.000], [3.552, 1.929, 0.000], [-1.451, 0.000, 9.739]], "species": ["Be", "Be", "Pd", "Pd", "I", "I"], "fractional_positions": [[0.000, 0.000, 0.000], [0.625, 0.625, 0.846], [0.326, 0.326, 0.927], [0.672, 0.672, 0.092], [0.144, 0.144, 0.668], [0.388, 0.388, 0.268]], "space_group": "No. 8", "formation_energy_uncorrected_mev_per_atom": -273, "volume_a3_per_fu": 66.7}

[4]
{"formula": "Na3W", "functional": "GGA-PBE", "state": "relaxed", "lattice": [[-2.475, 2.475, 4.635], [2.475, -2.475, 4.635], [2.475, 2.475, -4.635]], "species": ["Na", "Na", "Na", "W"], "fractional_positions": [[0.000, 0.000, 0.000], [0.250, 0.750, 0.500], [0.750, 0.250, 0.500], [0.500, 0.500, 0.000]], "space_group": "No. 139", "e_form_mev_per_atom": 1365, "volume_a3_per_fu": 113.6}

[5]
{"formula": "SnIrC3", "functional": "GGA-PBE", "state": "relaxed", "lattice": [[4.187, 0.000, 0.000], [0.000, 4.187, 0.000], [0.000, 0.000, 4.187]], "species": ["Sn", "Ir", "C", "C", "C"], "fractional_positions": [[0.000, 0.000, 0.000], [0.500, 0.500, 0.500], [0.000, 0.000, 0.500], [0.000, 0.500, 0.000], [0.500, 0.000, 0.000]], "space_group": "No. 221", "e_form_mev_per_atom": 3367, "volume_a3_per_fu": 73.4}

[6]
{"formula": "Cd2AgOs", "functional": "GGA-PBE", "state": "relaxed", "lattice": [[4.787, -1.399, 0.000], [4.787, 1.399, 0.000], [-0.726, 0.000, 5.366]], "species": ["Cd", "Cd", "Ag", "Os"], "fractional_positions": [[0.246, 0.246, 0.244], [0.754, 0.754, 0.756], [0.000, 0.000, 0.500], [0.500, 0.500, 0.000]], "space_group": "No. 12", "e_form_mev_per_atom": 497, "volume_a3_per_fu": 71.9}

[7]
{"formula": "ZnInCo", "functional": "GGA-PBE", "state": "relaxed", "lattice": [[2.825, 0.000, 0.000], [0.000, 4.139, 0.000], [0.000, 0.000, 4.435]], "species": ["Zn", "In", "Co"], "fractional_positions": [[0.000, 0.000, 0.000], [0.000, 0.500, 0.500], [0.500, 0.500, 0.000]], "space_group": "No. 47", "e_form_mev_per_atom": -4, "volume_a3_per_fu": 51.9}

[8]
{"formula": "ZrCl3", "functional": "GGA-PBE", "state": "relaxed", "lattice": [[3.392, 0.000, 0.000], [0.000, 3.392, 0.000], [0.000, 0.000, 6.649]], "species": ["Zr", "Cl", "Cl", "Cl"], "fractional_positions": [[0.000, 0.000, 0.000], [0.000, 0.000, 0.500], [0.500, 0.500, 0.213], [0.500, 0.500, 0.787]], "space_group": "No. 123", "formation_energy_uncorrected_mev_per_atom": -977, "volume_a3_per_fu": 76.5}

[9]
{"formula": "PrSm2Sc", "functional": "GGA-PBE", "state": "relaxed", "lattice": [[1.787, 1.032, 11.553], [-1.787, 1.032, 11.553], [0.000, -2.064, 11.553]], "species": ["Pr", "Sm", "Sm", "Sc"], "fractional_positions": [[0.000, 0.000, 0.000], [0.579, 0.579, 0.579], [0.755, 0.755, 0.755], [0.167, 0.167, 0.167]], "space_group": "No. 160", "e_form_mev_per_atom": 58, "volume_a3_per_fu": 127.9}

[10]
{"formula": "RbAlMoS2", "functional": "GGA-PBE", "state": "relaxed", "lattice": [[4.832, 0.000, 0.000], [0.000, 4.832, 0.000], [0.000, 0.000, 5.766]], "species": ["Rb", "Al", "Mo", "S", "S"], "fractional_positions": [[0.000, 0.000, 0.000], [0.000, 0.000, 0.500], [0.500, 0.500, 0.000], [0.000, 0.500, 0.500], [0.500, 0.000, 0.500]], "space_group": "No. 123", "formation_energy_uncorrected_mev_per_atom": 935, "volume_a3_per_fu": 134.6}

[11]
{"formula": "PSeI2O", "functional": "GGA-PBE", "state": "relaxed", "lattice": [[5.786, 0.000, 0.000], [0.000, 5.786, 0.000], [0.000, 0.000, 3.779]], "species": ["P", "Se", "I", "I", "O"], "fractional_positions": [[0.000, 0.000, 0.000], [0.500, 0.500, 0.500], [0.000, 0.500, 0.500], [0.500, 0.000, 0.500], [0.500, 0.500, 0.000]], "space_group": "No. 123", "formation_energy_uncorrected_mev_per_atom": 580, "volume_a3_per_fu": 126.5}

[12]
{"formula": "La4Rh5", "functional": "GGA-PBE", "state": "relaxed", "lattice": [[8.471, 0.000, 0.000], [-4.236, 7.336, 0.000], [0.000, 0.000, 6.367]], "species": ["La", "La", "La", "La", "La", "La", "La", "La", "Rh", "Rh", "Rh", "Rh", "Rh", "Rh", "Rh", "Rh", "Rh", "Rh"], "fractional_positions": [[0.000, 0.000, 0.000], [0.000, 0.000, 0.500], [0.000, 0.382, 0.250], [0.000, 0.618, 0.750], [0.382, 0.000, 0.250], [0.382, 0.382, 0.750], [0.618, 0.000, 0.750], [0.618, 0.618, 0.250], [0.000, 0.294, 0.750], [0.000, 0.706, 0.250], [0.294, 0.000, 0.750], [0.294, 0.294, 0.250], [0.333, 0.667, 0.000], [0.333, 0.667, 0.500], [0.667, 0.333, 0.000], [0.667, 0.333, 0.500], [0.706, 0.000, 0.250], [0.706, 0.706, 0.750]], "space_group": "No. 193", "e_form_mev_per_atom": -507, "volume_a3_per_fu": 197.8}